## BaGe3Rh3 (PBE)

Data for a relaxed BaGe3Rh3 crystal.

Summary:
**E_tot**: -5.676 eV per atom
**Fermi-level density of states**: 0.51 states/eV per atom
**Offset from the most stable computed form**: 184 meV/atom
**Energy of formation from the pure elements**: -184 kJ/mol of formula units

Geometry as POSCAR:
```
BaGe3Rh3
1.0
9.040 0.000 0.000
0.000 4.399 0.000
-4.516 0.000 7.833
Ba Ge Rh
2 6 6
Direct
0.167 0.250 0.333
0.833 0.750 0.667
0.085 0.250 0.641
0.142 0.750 0.056
0.443 0.750 0.585
0.557 0.250 0.415
0.858 0.250 0.944
0.915 0.750 0.359
0.148 0.250 0.938
0.210 0.750 0.648
0.438 0.750 0.290
0.562 0.250 0.710
0.790 0.250 0.352
0.852 0.750 0.062
```

## BaGe2Rh2 (PBE)

Data for a relaxed BaGe2Rh2 crystal.

Summary:
**E_tot**: -5.366 eV per atom
**Fermi-level density of states**: 1.00 states/eV per atom
**Energy of formation from the pure elements**: -93 kJ/mol of formula units

Geometry as POSCAR:
```
BaGe2Rh2
1.0
8.068 0.000 0.000
0.000 8.068 0.000
0.000 0.000 3.067
Ba Ge Rh
2 4 4
Direct
0.000 0.000 0.000
0.500 0.500 0.000
0.128 0.372 0.000
0.372 0.872 0.000
0.628 0.128 0.000
0.872 0.628 0.000
0.133 0.633 0.500
0.367 0.133 0.500
0.633 0.867 0.500
0.867 0.367 0.500
```

## BaGe2Rh (PBE)

Data for a relaxed BaGe2Rh crystal.

Summary:
**E_tot**: -5.209 eV per atom
**Fermi-level density of states**: 0.72 states/eV per atom
**Energy of formation from the pure elements**: -225 kJ/mol of formula units

Geometry as POSCAR:
```
BaGe2Rh
1.0
4.267 0.000 0.000
-2.133 3.695 0.000
0.000 0.000 17.928
Ba Ge Rh
3 6 3
Direct
0.000 0.000 0.000
0.333 0.667 0.667
0.667 0.333 0.333
0.000 0.000 0.208
0.000 0.000 0.792
0.333 0.667 0.459
0.333 0.667 0.875
0.667 0.333 0.125
0.667 0.333 0.541
0.000 0.000 0.500
0.333 0.667 0.167
0.667 0.333 0.833
```

## BaGe2Rh (PBE)

Data for a relaxed BaGe2Rh crystal.

Summary:
**E_tot**: -5.151 eV per atom
**Fermi-level density of states**: 0.44 states/eV per atom
**Energy of formation from the pure elements**: -202 kJ/mol of formula units

Geometry as POSCAR:
```
BaGe2Rh
1.0
6.519 0.000 0.000
0.000 11.390 0.000
-2.917 0.000 5.148
Ba Ge Rh
4 8 4
Direct
0.000 0.131 0.250
0.000 0.869 0.750
0.500 0.369 0.750
0.500 0.631 0.250
0.209 0.364 0.068
0.209 0.636 0.568
0.291 0.136 0.932
0.291 0.864 0.432
0.709 0.136 0.568
0.709 0.864 0.068
0.791 0.364 0.432
0.791 0.636 0.932
0.000 0.476 0.250
0.000 0.524 0.750
0.500 0.024 0.750
0.500 0.976 0.250
```